(1)
{"formula": "Zn6GaCu10", "functional": "PBE", "state": "relaxed", "cell": [[-4.973, -0.998, 0.139], [0.760, -4.552, -5.483], [0.662, -2.360, 6.734]], "species": ["Cu", "Cu", "Cu", "Cu", "Cu", "Cu", "Cu", "Cu", "Cu", "Cu", "Zn", "Zn", "Zn", "Zn", "Zn", "Zn", "Ga"], "fractional_positions": [[0.170, 0.709, 0.000], [0.500, 0.333, 0.667], [0.000, 0.667, 0.333], [0.830, 0.709, 0.709], [0.170, 0.291, 0.291], [0.170, 0.000, 0.709], [0.830, 0.000, 0.291], [0.830, 0.291, 0.000], [0.000, 0.333, 0.667], [0.500, 0.667, 0.333], [0.311, 0.634, 0.634], [0.689, 0.634, 0.000], [0.689, 0.366, 0.366], [0.689, 0.000, 0.634], [0.311, 0.366, 0.000], [0.311, 0.000, 0.366], [0.500, 0.000, 0.000]], "final_energy_ev_per_atom": -3.07, "n_ef_per_ev_atom": 0.1446}


(2)
{"formula": "ZnGaCu2", "functional": "PBE", "state": "relaxed", "cell": [[-2.484, 2.451, 0.576], [0.521, -0.374, 3.838], [2.720, 2.780, -0.099]], "species": ["Ga", "Zn", "Cu", "Cu"], "fractional_positions": [[0.500, 0.000, 0.000], [0.500, 0.500, 0.500], [0.000, 0.000, 0.500], [0.000, 0.500, 0.000]], "final_energy_ev_per_atom": -3.19, "n_ef_per_ev_atom": 0.3819}


(3)
{"formula": "Zn4GaCu", "functional": "PBE", "state": "relaxed", "cell": [[-0.565, 3.105, 3.980], [1.332, -1.560, 4.647], [4.086, 1.986, 2.271]], "species": ["Ga", "Zn", "Zn", "Zn", "Zn", "Cu"], "fractional_positions": [[0.000, 0.000, 0.000], [0.624, 0.624, 0.127], [0.624, 0.624, 0.624], [0.624, 0.127, 0.624], [0.127, 0.624, 0.624], [0.250, 0.250, 0.250]], "final_energy_ev_per_atom": -1.92, "n_ef_per_ev_atom": 0.2217}